No. 1
A relaxed ErBiNO crystal, computed with PBE.

Unit cell a=3.7573 b=6.3858 c=6.5895 alpha=90.00 beta=90.00 gamma=90.00
Sites, in units of the cell vectors:
N (0.0000, 0.4201, 0.6377)
Er (0.5000, 0.4881, 0.8150)
Er (0.5000, 0.9881, 0.1850)
Bi (0.0000, 0.5569, 0.3290)
N (0.0000, 0.9201, 0.3623)
O (0.5000, 0.7889, 0.9349)
O (0.5000, 0.2889, 0.0651)
Bi (0.0000, 0.0569, 0.6710)

Summary:
Total moment = 0.001 μB/cell
Energy above the most stable polymorph in this dataset = 0.000 eV per atom
Symmetry = Pmc2_1


No. 2
A relaxed Y4Ge3W2C3 crystal, computed with PBE.

Unit cell a=5.9056 b=5.9056 c=14.0770 alpha=102.31 beta=102.31 gamma=60.76
Sites, in units of the cell vectors:
C (0.5000, 0.0000, 0.0000)
W (0.4762, 0.6552, 0.9257)
Y (0.1900, 0.0468, 0.1031)
C (0.7977, 0.3516, 0.0000)
W (0.6552, 0.4762, 0.4257)
W (0.5238, 0.3448, 0.0743)
C (0.2023, 0.6484, 0.0000)
C (0.0000, 0.5000, 0.5000)
Ge (0.3232, 0.4205, 0.2529)
Ge (0.8284, 0.1716, 0.2500)
Ge (0.5795, 0.6768, 0.2471)
Ge (0.4205, 0.3232, 0.7529)
Y (0.8791, 0.7025, 0.1039)
Y (0.0468, 0.1900, 0.6031)
Ge (0.1716, 0.8284, 0.7500)
C (0.3516, 0.7977, 0.5000)
C (0.6484, 0.2023, 0.5000)
Y (0.1209, 0.2975, 0.8961)
Y (0.9532, 0.8100, 0.3969)
W (0.3448, 0.5238, 0.5743)
Ge (0.6768, 0.5795, 0.7471)
Y (0.2975, 0.1209, 0.3961)
Y (0.7025, 0.8791, 0.6039)
Y (0.8100, 0.9532, 0.8969)

Summary:
Total moment = 0.001 μB/cell
Symmetry = C2/c


No. 3
A relaxed BaInSbPd2 crystal, computed with PBE.

Unit cell a=4.7803 b=4.7803 c=10.8928 alpha=90.00 beta=90.00 gamma=90.00
Sites, in units of the cell vectors:
In (0.5000, 0.5000, 0.5000)
Ba (0.5000, 0.0000, 0.7612)
Pd (0.0000, 0.0000, 0.0000)
In (0.0000, 0.0000, 0.5000)
Pd (0.0000, 0.5000, 0.6301)
Pd (0.5000, 0.5000, 0.0000)
Sb (0.0000, 0.5000, 0.8769)
Pd (0.5000, 0.0000, 0.3699)
Sb (0.5000, 0.0000, 0.1231)
Ba (0.0000, 0.5000, 0.2388)

Summary:
Energy above the most stable polymorph in this dataset = 0.000 eV per atom
Symmetry = P4/nmm


No. 4
A relaxed Ag2PbSe2 crystal, computed with PBE.

Unit cell a=7.0758 b=7.0758 c=7.0758 alpha=117.53 beta=88.54 gamma=124.29
Sites, in units of the cell vectors:
Se (0.8505, 0.2723, 0.1228)
Pb (0.7500, 0.7500, 0.0000)
Ag (0.3879, 0.8700, 0.2580)
Pb (0.2500, 0.2500, 0.0000)
Se (0.6495, 0.7723, 0.4218)
Ag (0.1121, 0.3700, 0.4821)
Ag (0.8879, 0.6300, 0.5179)
Ag (0.6121, 0.1300, 0.7420)
Se (0.1495, 0.7277, 0.8772)
Se (0.3505, 0.2277, 0.5782)

Summary:
Energy above the most stable polymorph in this dataset = 0.180 eV per atom
Symmetry = Ibam


No. 5
A relaxed ScCdAg2 crystal, computed with PBE.

Unit cell a=4.7985 b=6.7411 c=14.3939 alpha=90.00 beta=90.00 gamma=90.00
Sites, in units of the cell vectors:
Ag (0.0000, 0.7500, 0.8334)
Sc (0.0000, 0.5000, 0.3333)
Ag (0.5001, 0.2500, 0.6666)
Sc (0.4999, 0.0000, 0.1667)
Ag (0.0000, 0.7501, 0.5000)
Ag (0.4999, 0.2500, 0.3334)
Cd (0.0000, 0.0000, 0.0000)
Cd (0.0000, 0.0000, 0.3333)
Ag (0.5001, 0.7500, 0.6666)
Cd (0.4999, 0.5000, 0.1666)
Ag (0.5000, 0.2501, 0.0000)
Ag (0.0000, 0.2499, 0.5000)
Cd (0.5000, 0.5000, 0.5000)
Ag (0.0000, 0.2500, 0.8334)
Ag (0.4999, 0.7500, 0.3334)
Ag (0.0000, 0.2500, 0.1666)
Sc (0.0000, 0.5000, 0.0000)
Sc (0.5001, 0.0000, 0.8333)
Ag (0.0000, 0.7500, 0.1666)
Cd (0.0000, 0.0000, 0.6667)
Ag (0.5000, 0.7499, 0.0000)
Cd (0.5001, 0.5000, 0.8334)
Sc (0.0000, 0.5000, 0.6667)
Sc (0.5000, 0.0000, 0.5000)

Summary:
Total moment = 0.041 μB/cell
DFT formation energy = -0.2544 eV per atom
Symmetry = I4/mmm


No. 6
A relaxed PmScCo crystal, computed with PBE.

Unit cell a=4.5165 b=4.5165 c=4.5165 alpha=60.00 beta=60.00 gamma=60.00
Sites, in units of the cell vectors:
Pm (0.7500, 0.7500, 0.7500)
Sc (0.0000, 0.0000, 0.0000)
Co (0.2500, 0.2500, 0.2500)

Summary:
Total moment = 0.003 μB/cell
DFT formation energy = 0.6342 eV per atom
Symmetry = F-43m


No. 7
A relaxed BaLuPt2 crystal, computed with PBE.

Unit cell a=4.9692 b=4.9692 c=4.9692 alpha=60.00 beta=60.00 gamma=60.00
Sites, in units of the cell vectors:
Pt (0.5000, 0.5000, 0.5000)
Ba (0.7500, 0.7500, 0.7500)
Lu (0.0000, 0.0000, 0.0000)
Pt (0.2500, 0.2500, 0.2500)

Summary:
Total moment = 0.001 μB/cell
Symmetry = F-43m


No. 8
A relaxed ZnI2O6 crystal, computed with PBE.

Unit cell a=10.8894 b=4.9871 c=10.8241 alpha=90.00 beta=119.68 gamma=90.00
Sites, in units of the cell vectors:
O (0.6197, 0.5472, 0.9185)
O (0.6821, 0.0347, 0.3004)
O (0.8195, 0.5376, 0.2008)
I (0.6526, 0.7171, 0.0845)
Zn (0.9932, 0.7784, 0.2380)
I (0.3164, 0.2087, 0.4162)
O (0.8815, 0.0512, 0.5823)
O (0.0367, 0.5627, 0.1016)
O (0.6632, 0.4987, 0.4338)
O (0.9633, 0.0627, 0.8984)
O (0.1706, 0.0209, 0.2700)
O (0.8359, 0.0011, 0.0663)
O (0.5338, 0.4958, 0.1149)
O (0.4619, 0.0611, 0.3978)
I (0.1831, 0.7083, 0.0840)
O (0.1641, 0.5011, 0.9337)
O (0.3803, 0.0472, 0.0815)
I (0.8472, 0.2202, 0.4157)
O (0.5381, 0.5611, 0.6022)
Zn (0.5059, 0.2738, 0.2618)
I (0.1528, 0.7202, 0.5843)
O (0.1805, 0.0376, 0.7992)
Zn (0.0068, 0.2784, 0.7620)
O (0.3368, 0.9987, 0.5662)
Zn (0.4941, 0.7738, 0.7382)
O (0.4662, 0.9958, 0.8851)
O (0.3285, 0.5185, 0.2299)
O (0.0316, 0.5049, 0.6141)
O (0.8294, 0.5209, 0.7300)
I (0.8169, 0.2083, 0.9160)
O (0.6715, 0.0185, 0.7701)
O (0.9684, 0.0049, 0.3859)
O (0.1185, 0.5512, 0.4177)
O (0.3179, 0.5346, 0.6996)
I (0.6836, 0.7087, 0.5838)
I (0.3474, 0.2171, 0.9155)

Summary:
Symmetry = P2_1


No. 9
A relaxed NiBiAs2 crystal, computed with PBE.

Unit cell a=4.8089 b=4.8089 c=4.8089 alpha=60.00 beta=60.00 gamma=60.00
Sites, in units of the cell vectors:
As (0.0000, 0.0000, 0.0000)
Ni (0.7500, 0.7500, 0.7500)
Bi (0.5000, 0.5000, 0.5000)
As (0.2500, 0.2500, 0.2500)

Summary:
Total moment = 0.012 μB/cell
Symmetry = F-43m


No. 10
A relaxed TbHo2Si4Pd4 crystal, computed with PBE.

Unit cell a=7.9413 b=7.9413 c=7.9413 alpha=149.97 beta=127.96 gamma=61.26
Sites, in units of the cell vectors:
Ho (0.6247, 0.1247, 0.5000)
Si (0.2191, 0.2191, 0.0000)
Pd (0.9735, 0.6750, 0.2984)
Pd (0.3766, 0.6750, 0.7016)
Ho (0.3753, 0.8753, 0.5000)
Si (0.3187, 0.5000, 0.8187)
Tb (0.0000, 0.0000, 0.0000)
Si (0.7809, 0.7809, 0.0000)
Pd (0.6234, 0.3250, 0.2984)
Si (0.6813, 0.5000, 0.1813)
Pd (0.0265, 0.3250, 0.7016)

Summary:
Total moment = 0.030 μB/cell
Symmetry = Immm


No. 11
A relaxed KAu crystal, computed with PBE.

Unit cell a=5.3661 b=5.3661 c=5.3661 alpha=60.00 beta=60.00 gamma=60.00
Sites, in units of the cell vectors:
Au (0.0000, 0.0000, 0.0000)
K (0.2500, 0.2500, 0.2500)

Summary:
Symmetry = F-43m


No. 12
A relaxed ZrTlF5 crystal, computed with PBE.

Unit cell a=7.1693 b=7.7099 c=7.8554 alpha=90.00 beta=116.48 gamma=90.00
Sites, in units of the cell vectors:
F (0.4277, 0.5595, 0.6826)
Zr (0.4659, 0.6635, 0.1516)
F (0.2417, 0.2544, 0.6748)
F (0.7583, 0.7544, 0.8252)
F (0.5699, 0.2015, 0.0908)
Zr (0.5341, 0.3365, 0.8484)
F (0.2417, 0.2456, 0.1748)
F (0.1531, 0.6840, 0.0678)
Zr (0.5341, 0.1635, 0.3484)
F (0.7583, 0.7456, 0.3252)
Tl (0.9417, 0.9501, 0.1847)
F (0.4301, 0.7985, 0.9092)
F (0.4277, 0.9405, 0.1826)
F (0.5723, 0.0595, 0.8174)
F (0.6784, 0.5372, 0.0543)
F (0.5723, 0.4405, 0.3174)
Tl (0.9417, 0.5499, 0.6847)
F (0.5699, 0.2985, 0.5908)
F (0.3216, 0.0372, 0.4457)
F (0.8469, 0.3160, 0.9322)
F (0.1531, 0.8160, 0.5678)
Tl (0.0583, 0.4501, 0.3153)
F (0.8469, 0.1840, 0.4322)
Zr (0.4659, 0.8365, 0.6516)
F (0.3216, 0.4628, 0.9457)
F (0.6784, 0.9628, 0.5543)
Tl (0.0583, 0.0499, 0.8153)
F (0.4301, 0.7015, 0.4092)

Summary:
Total moment = 0.000 μB/cell
Symmetry = P2_1/c


No. 13
A relaxed LiPaPt crystal, computed with PBE.

Unit cell a=4.5979 b=4.5979 c=4.5979 alpha=60.00 beta=60.00 gamma=60.00
Sites, in units of the cell vectors:
Li (0.2500, 0.2500, 0.2500)
Pt (0.7500, 0.7500, 0.7500)
Pa (0.0000, 0.0000, 0.0000)

Summary:
Total moment = 0.132 μB/cell
Energy above the most stable polymorph in this dataset = 0.462 eV per atom
Symmetry = F-43m


No. 14
A relaxed KNdAgTe3 crystal, computed with PBE.

Unit cell a=8.3489 b=8.3489 c=11.6940 alpha=90.00 beta=90.00 gamma=149.48
Sites, in units of the cell vectors:
Nd (0.5000, 0.5000, 0.5000)
K (0.7459, 0.2541, 0.2500)
Ag (0.0348, 0.9652, 0.2500)
Te (0.5776, 0.4224, 0.7500)
Te (0.4224, 0.5776, 0.2500)
Te (0.1369, 0.8631, 0.4444)
Te (0.8631, 0.1369, 0.5556)
Ag (0.9652, 0.0348, 0.7500)
K (0.2541, 0.7459, 0.7500)
Nd (0.5000, 0.5000, 0.0000)
Te (0.8631, 0.1369, 0.9444)
Te (0.1369, 0.8631, 0.0556)

Summary:
Total moment = 0.016 μB/cell
Symmetry = Cmcm


No. 15
A relaxed KCdNO crystal, computed with PBE.

Unit cell a=6.7227 b=9.3148 c=4.3006 alpha=90.00 beta=90.00 gamma=90.00
Sites, in units of the cell vectors:
O (0.4711, 0.5974, 0.0507)
Cd (0.5973, 0.3796, 0.0511)
O (0.5289, 0.4026, 0.5507)
O (0.0289, 0.5974, 0.5507)
N (0.3137, 0.8532, 0.5496)
K (0.9237, 0.8639, 0.5509)
O (0.9711, 0.4026, 0.0507)
Cd (0.9027, 0.3796, 0.5511)
N (0.6863, 0.1468, 0.0496)
K (0.0763, 0.1361, 0.0509)
N (0.1863, 0.8532, 0.0496)
N (0.8137, 0.1468, 0.5496)
Cd (0.4027, 0.6204, 0.5511)
K (0.4237, 0.1361, 0.5509)
K (0.5763, 0.8639, 0.0509)
Cd (0.0973, 0.6204, 0.0511)

Summary:
Energy above the most stable polymorph in this dataset = 0.000 eV per atom
Symmetry = Pca2_1


No. 16
A relaxed GeSb2Au crystal, computed with PBE.

Unit cell a=5.0829 b=5.0829 c=5.0829 alpha=60.00 beta=60.00 gamma=60.00
Sites, in units of the cell vectors:
Sb (0.0000, 0.0000, 0.0000)
Ge (0.7500, 0.7500, 0.7500)
Au (0.5000, 0.5000, 0.5000)
Sb (0.2500, 0.2500, 0.2500)

Summary:
Symmetry = F-43m


No. 17
A relaxed CdPH6NO5 crystal, computed with PBE.

Unit cell a=17.2838 b=5.7373 c=4.9340 alpha=90.00 beta=90.00 gamma=90.00
Sites, in units of the cell vectors:
P (0.6424, 0.7500, 0.7065)
O (0.5535, 0.7500, 0.7349)
H (0.3557, 0.8863, 0.8322)
O (0.1761, 0.5329, 0.6377)
H (0.4508, 0.6008, 0.2348)
O (0.3239, 0.0329, 0.1377)
O (0.8340, 0.2500, 0.9096)
O (0.3638, 0.7500, 0.7114)
O (0.3239, 0.4671, 0.1377)
P (0.8576, 0.2500, 0.2065)
N (0.9843, 0.7500, 0.2674)
O (0.6660, 0.7500, 0.4096)
H (0.8557, 0.6137, 0.6678)
H (0.4508, 0.8992, 0.2348)
O (0.8239, 0.0329, 0.3623)
H (0.0492, 0.1008, 0.7348)
H (0.5492, 0.3992, 0.7652)
O (0.3340, 0.2500, 0.5904)
O (0.9465, 0.2500, 0.2349)
H (0.9508, 0.6008, 0.2652)
O (0.8638, 0.7500, 0.7886)
Cd (0.7320, 0.2500, 0.6190)
O (0.1761, 0.9671, 0.6377)
H (0.9825, 0.2500, 0.5531)
H (0.8557, 0.8863, 0.6678)
Cd (0.7680, 0.7500, 0.1190)
Cd (0.2320, 0.2500, 0.8810)
O (0.0535, 0.7500, 0.7651)
H (0.0175, 0.7500, 0.4469)
H (0.5492, 0.1008, 0.7652)
Cd (0.2680, 0.7500, 0.3810)
P (0.1424, 0.7500, 0.7935)
H (0.5175, 0.7500, 0.0531)
N (0.4843, 0.7500, 0.2326)
H (0.0492, 0.3992, 0.7348)
H (0.9508, 0.8992, 0.2652)
O (0.6362, 0.2500, 0.2886)
N (0.0157, 0.2500, 0.7326)
H (0.6443, 0.1137, 0.1678)
H (0.6443, 0.3863, 0.1678)
H (0.4825, 0.2500, 0.9469)
O (0.1660, 0.7500, 0.0904)
H (0.1443, 0.1137, 0.3322)
N (0.5157, 0.2500, 0.7674)
H (0.3557, 0.6137, 0.8322)
H (0.9825, 0.2500, 0.9112)
H (0.1443, 0.3863, 0.3322)
O (0.6761, 0.5329, 0.8623)
O (0.1362, 0.2500, 0.2114)
O (0.4465, 0.2500, 0.2651)
H (0.5175, 0.7500, 0.4112)
H (0.0175, 0.7500, 0.0888)
P (0.3576, 0.2500, 0.2935)
H (0.4825, 0.2500, 0.5888)
O (0.8239, 0.4671, 0.3623)
O (0.6761, 0.9671, 0.8623)

Summary:
Symmetry = Pnma


No. 18
A relaxed NaNdRe crystal, computed with PBE.

Unit cell a=4.7317 b=4.7317 c=4.7317 alpha=60.00 beta=60.00 gamma=60.00
Sites, in units of the cell vectors:
Nd (0.2500, 0.2500, 0.2500)
Na (0.0000, 0.0000, 0.0000)
Re (0.7500, 0.7500, 0.7500)

Summary:
Total moment = 1.501 μB/cell
Energy above the most stable polymorph in this dataset = 0.000 eV per atom
Symmetry = F-43m


No. 19
A relaxed LiCu crystal, computed with PBE.

Unit cell a=3.8342 b=3.8342 c=3.8342 alpha=60.00 beta=60.00 gamma=60.00
Sites, in units of the cell vectors:
Li (0.2500, 0.2500, 0.2500)
Cu (0.0000, 0.0000, 0.0000)

Summary:
Symmetry = F-43m


Quick rundown of total energy, same order as above: -6.75; -8.26; -4.56; -3.35; -3.47; -5.43; -4.96; -4.36; -4.29; -6.07; -2.34; -6.04; -5.66; -3.93; -3.57; -3.76; -5.47; -4.57; -2.11 eV per atom